Ba3Cu2Sn9 after structural relaxation. Source: Alexandria, functional PBE. Values from VASP.

Summary:
Total DFT energy (no corrections), eV for the cell shown: -54.15
Spin magnetization, μB per atom: 0.0000
ΔH_f (0 K), kJ/mol of atoms: -28.7
Space-group type: Immm, No. 71

Geometry as Quantum ESPRESSO input:
```
&SYSTEM
  ibrav = 0, nat = 14, ntyp = 3
/
ATOMIC_SPECIES
Sn 118.71 Sn.upf
Ba 137.33 Ba.upf
Cu 63.55 Cu.upf
ATOMIC_POSITIONS angstrom
Sn 6.808 8.998 3.752
Sn 2.269 0.941 2.801
Sn 6.808 9.186 9.348
Sn 2.269 6.434 1.716
Sn 2.269 3.130 5.877
Sn 6.808 11.187 6.828
Sn 2.269 6.064 4.815
Sn 6.808 5.694 7.913
Sn 2.269 2.941 0.282
Ba 4.539 8.303 6.593
Ba 4.539 3.824 3.036
Ba 0.000 0.000 0.000
Cu 4.539 3.985 7.433
Cu 4.539 8.143 2.196
CELL_PARAMETERS angstrom
4.539 0.000 0.000
2.269 9.841 0.058
2.269 2.287 9.572
```